Record 1
Material: Ga2Rh2Pb
Method: DFT, PBE-GGA
State: relaxed

Calculated values
Relative energy among the computed polymorphs in meV/atom: 79
Size of the total moment in μB/f.u.: 0.000
ΔH_f (0 K) in meV/atom: -256.1
Density in g cm⁻³: 9.70
E_tot in eV/atom: -5.1491
SG: I4/mmm (139)

```
Ga2Rh2Pb
1.0
-2.172 2.172 5.010
2.172 -2.172 5.010
2.172 2.172 -5.010
Ga Rh Pb
2 2 1
direct
0.130 0.130 0.000
0.870 0.870 0.000
0.250 0.750 0.500
0.750 0.250 0.500
0.500 0.500 0.000
```

---

Record 2
Material: SmThCu2
Method: DFT, PBE-GGA
State: relaxed

Calculated values
Relative energy among the computed polymorphs in meV/atom: 0
Size of the total moment in μB/f.u.: 0.000
ΔH_f (0 K) in meV/atom: -143.9
Density in g cm⁻³: 9.23
E_tot in eV/atom: -5.2268
SG: Pm (6)

```
SmThCu2
1.0
3.789 0.000 0.000
0.000 4.369 0.000
-1.833 0.000 5.540
Sm Th Cu
1 1 2
direct
0.000 0.000 0.000
0.715 0.500 0.422
0.288 0.000 0.571
0.424 0.500 0.844
```

---

Record 3
Material: Y2BiSb
Method: DFT, PBE-GGA
State: relaxed

Calculated values
Relative energy among the computed polymorphs in meV/atom: 528
Size of the total moment in μB/f.u.: 0.000
Density in g cm⁻³: 4.89
E_tot in eV/atom: -5.7360
SG: I-42d (122)
Raw formation energy in eV per formula unit: -2.0

```
Y2BiSb
1.0
-3.527 3.527 6.949
3.527 -3.527 6.949
3.527 3.527 -6.949
Y Bi Sb
4 2 2
direct
0.118 0.625 0.993
0.375 0.368 0.493
0.632 0.125 0.007
0.875 0.882 0.507
0.250 0.750 0.500
0.500 0.500 0.000
0.000 0.000 0.000
0.750 0.250 0.500
```

---

Record 4
Material: Na3LiSn3O8
Method: DFT, PBE-GGA
State: relaxed

Calculated values
Size of the total moment in μB/f.u.: 0.000
Density in g cm⁻³: 4.83
E_tot in eV/atom: -5.5149
SG: R-3m (166)
Raw formation energy in eV per formula unit: -25.2

```
Na3LiSn3O8
1.0
3.166 1.828 5.549
-3.166 1.828 5.549
0.000 -3.655 5.549
Na Li Sn O
3 1 3 8
direct
0.000 0.500 0.500
0.500 0.000 0.500
0.500 0.500 0.000
0.500 0.500 0.500
0.000 0.000 0.500
0.000 0.500 0.000
0.500 0.000 0.000
0.219 0.737 0.737
0.240 0.240 0.240
0.263 0.263 0.781
0.263 0.781 0.263
0.737 0.219 0.737
0.737 0.737 0.219
0.760 0.760 0.760
0.781 0.263 0.263
```

---

Record 5
Material: Th2Zn4Ga3Ag
Method: DFT, PBE-GGA
State: relaxed

Calculated values
Size of the total moment in μB/f.u.: 0.000
ΔH_f (0 K) in meV/atom: -373.1
Density in g cm⁻³: 8.91
E_tot in eV/atom: -3.5599
SG: P-4m2 (115)

```
Th2Zn4Ga3Ag
1.0
4.267 0.000 0.000
0.000 4.267 0.000
0.000 0.000 10.677
Th Zn Ga Ag
2 4 3 1
direct
0.000 0.500 0.246
0.500 0.000 0.754
0.000 0.000 0.000
0.000 0.500 0.637
0.500 0.000 0.363
0.500 0.500 0.000
0.000 0.500 0.865
0.500 0.000 0.135
0.500 0.500 0.500
0.000 0.000 0.500
```

---

Record 6
Material: CdMoRu
Method: DFT, PBE-GGA
State: relaxed

Calculated values
Relative energy among the computed polymorphs in meV/atom: 0
Size of the total moment in μB/f.u.: 0.000
ΔH_f (0 K) in meV/atom: 75.8
Density in g cm⁻³: 10.01
E_tot in eV/atom: -6.9316
SG: P4/nmm (129)

```
CdMoRu
1.0
3.147 0.000 0.000
0.000 3.147 0.000
0.000 0.000 10.371
Cd Mo Ru
2 2 2
direct
0.250 0.250 0.106
0.750 0.750 0.894
0.250 0.250 0.421
0.750 0.750 0.579
0.250 0.250 0.710
0.750 0.750 0.290
```

---

Record 7
Material: TbNdSc4
Method: DFT, PBE-GGA
State: relaxed

Calculated values
Relative energy among the computed polymorphs in meV/atom: 21
Size of the total moment in μB/f.u.: 0.000
ΔH_f (0 K) in meV/atom: 70.7
Density in g cm⁻³: 4.90
E_tot in eV/atom: -5.7167
SG: Cmcm (63)

```
TbNdSc4
1.0
3.285 -9.298 0.000
3.285 9.298 0.000
0.000 0.000 5.359
Tb Nd Sc
2 2 8
direct
0.126 0.874 0.750
0.874 0.126 0.250
0.377 0.623 0.250
0.623 0.377 0.750
0.041 0.457 0.750
0.205 0.288 0.750
0.288 0.205 0.250
0.457 0.041 0.250
0.543 0.959 0.750
0.712 0.795 0.750
0.795 0.712 0.250
0.959 0.543 0.250
```

---

Record 8
Material: DyEr3Pt12
Method: DFT, PBE-GGA
State: relaxed

Calculated values
Size of the total moment in μB/f.u.: 0.000
ΔH_f (0 K) in meV/atom: -1061.0
Density in g cm⁻³: 18.02
E_tot in eV/atom: -6.7348
SG: P4/mmm (123)

```
DyEr3Pt12
1.0
4.111 0.000 0.000
0.000 4.111 0.000
0.000 0.000 16.379
Dy Er Pt
1 3 12
direct
0.000 0.000 0.000
0.000 0.000 0.251
0.000 0.000 0.500
0.000 0.000 0.749
0.000 0.500 0.126
0.000 0.500 0.375
0.000 0.500 0.625
0.000 0.500 0.874
0.500 0.000 0.126
0.500 0.000 0.375
0.500 0.000 0.625
0.500 0.000 0.874
0.500 0.500 0.000
0.500 0.500 0.251
0.500 0.500 0.500
0.500 0.500 0.749
```

---

Record 9
Material: Ba4Li
Method: DFT, PBE-GGA
State: relaxed

Calculated values
Relative energy among the computed polymorphs in meV/atom: 65
Size of the total moment in μB/f.u.: 0.000
ΔH_f (0 K) in meV/atom: 93.1
Density in g cm⁻³: 3.32
E_tot in eV/atom: -1.8278
SG: P2/c (13)

```
Ba4Li
1.0
8.338 0.000 0.000
0.000 11.117 0.000
-2.529 0.000 6.005
Ba Li
8 2
direct
0.220 0.144 0.109
0.220 0.856 0.609
0.232 0.391 0.614
0.232 0.609 0.114
0.768 0.391 0.886
0.768 0.609 0.386
0.780 0.144 0.391
0.780 0.856 0.891
0.500 0.114 0.750
0.500 0.886 0.250
```

---

Record 10
Material: LiEr6Co2
Method: DFT, PBE-GGA
State: relaxed

Calculated values
Size of the total moment in μB/f.u.: 0.000
ΔH_f (0 K) in meV/atom: -136.5
Density in g cm⁻³: 8.68
E_tot in eV/atom: -4.9701
SG: Immm (71)

```
LiEr6Co2
1.0
-4.621 4.753 4.913
4.621 -4.753 4.913
4.621 4.753 -4.913
Li Er Co
2 12 4
direct
0.000 0.000 0.000
0.500 0.500 0.000
0.034 0.234 0.800
0.181 0.281 0.462
0.181 0.719 0.899
0.321 0.006 0.685
0.321 0.636 0.315
0.434 0.234 0.200
0.566 0.766 0.800
0.679 0.364 0.685
0.679 0.994 0.315
0.819 0.281 0.101
0.819 0.719 0.538
0.966 0.766 0.200
0.115 0.615 0.500
0.333 0.000 0.333
0.667 0.000 0.667
0.885 0.385 0.500
```

---

Record 11
Material: Ta2SiOs
Method: DFT, PBE-GGA
State: relaxed

Calculated values
Size of the total moment in μB/f.u.: 0.000
Density in g cm⁻³: 15.06
E_tot in eV/atom: -10.2666
SG: Cmmm (65)
Raw formation energy in eV per formula unit: -0.7

```
Ta2SiOs
1.0
1.986 -2.169 0.000
1.986 2.169 0.000
0.000 0.000 7.430
Ta Si Os
2 1 1
direct
0.000 0.000 0.246
0.000 0.000 0.754
0.500 0.500 0.500
0.500 0.500 0.000
```

---

Record 12
Material: Tb5Sc2In4
Method: DFT, PBE-GGA
State: relaxed

Calculated values
Size of the total moment in μB/f.u.: 0.836
ΔH_f (0 K) in meV/atom: 205.0
Density in g cm⁻³: 6.73
E_tot in eV/atom: -4.0466
SG: Immm (71)

```
Tb5Sc2In4
1.0
-1.693 4.526 10.827
1.693 -4.526 10.827
1.693 4.526 -10.827
Tb Sc In
5 2 4
direct
0.000 0.000 0.000
0.159 0.342 0.817
0.474 0.658 0.817
0.526 0.342 0.183
0.841 0.658 0.183
0.115 0.615 0.500
0.885 0.385 0.500
0.245 0.745 0.500
0.327 0.500 0.827
0.673 0.500 0.173
0.755 0.255 0.500
```

---

Which of these has the highest density? DyEr3Pt12